Computed, not measured: CaGa2Tc2P after structural relaxation at the PBE level of DFT.

Unit cell a=4.464 b=4.464 c=5.640 alpha=90.00 beta=90.00 gamma=90.00
Space group P4/mmm (No. 123)
Inequivalent atoms, fractional coordinates:
Ca1 0.000 0.000 0.000 (multiplicity 1)
Ga1 0.500 0.500 0.230 (multiplicity 2)
Tc1 0.000 0.500 0.500 (multiplicity 2)
P1 0.000 0.000 0.500 (multiplicity 1)

## Properties
Its energy relative to the elements is -363 meV/atom. The calculation puts the density of states at the Fermi level at 3.3 states/eV/f.u. The calculation puts the total energy at -6.0627 eV per atom.